Below is an optimized crystal structure of BaSrPt4, with properties calculated at the GGA-PBE level.

a = 5.6440 Å, b = 5.6440 Å, c = 5.6440 Å
α = 60.00°, β = 60.00°, γ = 60.00°
Element x y z (fractional)
Pt 0.6247 0.6247 0.6247
Pt 0.1259 0.6247 0.6247
Pt 0.6247 0.1259 0.6247
Pt 0.6247 0.6247 0.1259
Sr 0.2500 0.2500 0.2500
Ba 0.0000 0.0000 0.0000

=====

Below is an optimized crystal structure of Ba3Sr3Pt2, with properties calculated at the GGA-PBE level.

a = 11.7159 Å, b = 11.7159 Å, c = 11.7159 Å
α = 90.30°, β = 90.30°, γ = 89.70°
Element x y z (fractional)
Sr 0.7964 0.5071 0.6983
Sr 0.5071 0.3017 0.2036
Sr 0.3017 0.7964 0.4929
Sr 0.7051 0.0013 0.1958
Sr 0.0013 0.8042 0.2949
Sr 0.2036 0.4929 0.3017
Sr 0.8042 0.7051 0.9987
Sr 0.9987 0.1958 0.7051
Sr 0.1958 0.2949 0.0013
Sr 0.6983 0.2036 0.5071
Sr 0.2949 0.9987 0.8042
Sr 0.4929 0.6983 0.7964
Ba 0.9918 0.8222 0.6854
Ba 0.3254 0.1863 0.5018
Ba 0.1778 0.6854 0.9918
Ba 0.8222 0.3146 0.0082
Ba 0.8137 0.5018 0.3254
Ba 0.4982 0.3254 0.8137
Ba 0.5018 0.6746 0.1863
Ba 0.6854 0.0082 0.8222
Ba 0.3146 0.9918 0.1778
Ba 0.1863 0.4982 0.6746
Ba 0.6746 0.8137 0.4982
Ba 0.0082 0.1778 0.3146
Pt 0.2479 0.2479 0.7521
Pt 0.7528 0.2594 0.7545
Pt 0.2472 0.7406 0.2455
Pt 0.7521 0.7521 0.2479
Pt 0.2455 0.7528 0.7406
Pt 0.7406 0.7545 0.7528
Pt 0.7545 0.2472 0.2594
Pt 0.2594 0.2455 0.2472

=====

| no. | magnetization (μB/f.u.) | calculated formation energy (meV/atom) |
| --- | --- | --- |
| 1 | 0.00 | -790 |
| 2 | 0.00 | -448 |